Arrangement P

Below is a geometry-optimized Nd2Ge structure, with properties calculated at the PBE-GGA level.

## Properties
density	7.0	Mg/m³
V	343	Å³/cell

Geometry as CIF:
```
data_Nd2Ge
_cell_length_a 7.882
_cell_length_b 4.542
_cell_length_c 9.578
_cell_angle_alpha 90.00
_cell_angle_beta 90.00
_cell_angle_gamma 90.00
_symmetry_space_group_name_H-M 'P n m a'
_symmetry_Int_Tables_number 62
loop_
_symmetry_equiv_pos_as_xyz
'x,y,z'
'-x,-y,-z'
'-x+1/2,-y,z+1/2'
'x+1/2,y,-z+1/2'
'x+1/2,-y+1/2,-z+1/2'
'-x+1/2,y+1/2,z+1/2'
'-x,y+1/2,-z'
'x,-y+1/2,z'
loop_
_atom_site_label
_atom_site_type_symbol
_atom_site_fract_x
_atom_site_fract_y
_atom_site_fract_z
Nd1 Nd 0.040 0.250 0.169
Nd2 Nd 0.138 0.250 0.572
Ge1 Ge 0.237 0.250 0.877
```

Arrangement Q

Below is a geometry-optimized Nd2Ge structure, with properties calculated at the PBE-GGA level.

## Properties
density	6.8	Mg/m³
V	353	Å³/cell

Geometry as CIF:
```
data_Nd2Ge
_cell_length_a 4.247
_cell_length_b 6.445
_cell_length_c 12.892
_cell_angle_alpha 90.00
_cell_angle_beta 90.00
_cell_angle_gamma 90.00
_symmetry_space_group_name_H-M 'I m m m'
_symmetry_Int_Tables_number 71
_symmetry_space_group_name_Hall '-I 2 2'
loop_
_atom_site_label
_atom_site_type_symbol
_atom_site_fract_x
_atom_site_fract_y
_atom_site_fract_z
Nd1 Nd 0.000 0.000 0.198
Nd2 Nd 0.000 0.230 0.500
Ge1 Ge 0.000 0.500 0.141
```

Arrangement R

Below is a geometry-optimized Nd2Ge structure, with properties calculated at the PBE-GGA level.

## Properties
density	7.5	Mg/m³
V	159	Å³/cell

Geometry as CIF:
```
data_Nd2Ge
_cell_length_a 4.024
_cell_length_b 4.024
_cell_length_c 9.829
_cell_angle_alpha 90.00
_cell_angle_beta 90.00
_cell_angle_gamma 90.00
_symmetry_space_group_name_H-M 'I 4/m m m'
_symmetry_Int_Tables_number 139
_symmetry_space_group_name_Hall '-I 4 2'
loop_
_atom_site_label
_atom_site_type_symbol
_atom_site_fract_x
_atom_site_fract_y
_atom_site_fract_z
Nd1 Nd 0.000 0.000 0.150
Ge1 Ge 0.000 0.000 0.500
```

Most stable structure - arrangement P; separation to the second - 27 meV/atom.

Arrangement P

Below is a geometry-optimized Nd5Ge3 structure, with properties calculated at the PBE-GGA level.

## Properties
density	7.0	Mg/m³
V	897	Å³/cell

Geometry as CIF:
```
data_Nd5Ge3
_cell_length_a 11.664
_cell_length_b 11.664
_cell_length_c 6.592
_cell_angle_alpha 90.00
_cell_angle_beta 90.00
_cell_angle_gamma 90.00
_symmetry_space_group_name_H-M 'P 4/n c c'
_symmetry_Int_Tables_number 130
loop_
_symmetry_equiv_pos_as_xyz
'x,y,z'
'-x,-y,-z'
'-y+1/2,x,z'
'y+1/2,-x,-z'
'-x+1/2,-y+1/2,z'
'x+1/2,y+1/2,-z'
'y,-x+1/2,z'
'-y,x+1/2,-z'
'x+1/2,-y,-z+1/2'
'-x+1/2,y,z+1/2'
'-y,-x,-z+1/2'
'y,x,z+1/2'
'-x,y+1/2,-z+1/2'
'x,-y+1/2,z+1/2'
'y+1/2,x+1/2,-z+1/2'
'-y+1/2,-x+1/2,z+1/2'
loop_
_atom_site_label
_atom_site_type_symbol
_atom_site_fract_x
_atom_site_fract_y
_atom_site_fract_z
Nd1 Nd 0.037 0.163 0.144
Nd2 Nd 0.250 0.750 0.000
Ge1 Ge 0.090 0.590 0.750
Ge2 Ge 0.250 0.250 0.400
```

Arrangement Q

Below is a geometry-optimized Nd5Ge3 structure, with properties calculated at the PBE-GGA level.

## Properties
density	6.7	Mg/m³
V	468	Å³/cell

Geometry as CIF:
```
data_Nd5Ge3
_cell_length_a 9.3177
_cell_length_b 9.3177
_cell_length_c 6.2188
_cell_angle_alpha 90.00
_cell_angle_beta 90.00
_cell_angle_gamma 120.00
_symmetry_space_group_name_H-M 'P 63/m c m'
_symmetry_Int_Tables_number 193
_symmetry_space_group_name_Hall '-P 6c 2'
loop_
_atom_site_label
_atom_site_type_symbol
_atom_site_fract_x
_atom_site_fract_y
_atom_site_fract_z
Nd1 Nd 0.0000 0.2928 0.2500
Nd2 Nd 0.3333 0.6667 0.2500
Ge1 Ge 0.0000 0.3495 0.7500
```

Most stable structure - arrangement P; separation to the second - 277 meV/atom.

Arrangement P

Below is a geometry-optimized Nd5Ge4 structure, with properties calculated at the PBE-GGA level.

## Properties
density	6.9	Mg/m³
V	973	Å³/cell

Geometry as CIF:
```
data_Nd5Ge4
_cell_length_a 7.942
_cell_length_b 15.234
_cell_length_c 8.042
_cell_angle_alpha 90.00
_cell_angle_beta 90.00
_cell_angle_gamma 90.00
_symmetry_space_group_name_H-M 'P n m a'
_symmetry_Int_Tables_number 62
loop_
_symmetry_equiv_pos_as_xyz
'x,y,z'
'-x,-y,-z'
'-x+1/2,-y,z+1/2'
'x+1/2,y,-z+1/2'
'x+1/2,-y+1/2,-z+1/2'
'-x+1/2,y+1/2,z+1/2'
'-x,y+1/2,-z'
'x,-y+1/2,z'
loop_
_atom_site_label
_atom_site_type_symbol
_atom_site_fract_x
_atom_site_fract_y
_atom_site_fract_z
Nd1 Nd 0.025 0.103 0.179
Nd2 Nd 0.120 0.615 0.340
Nd3 Nd 0.214 0.250 0.503
Ge1 Ge 0.088 0.250 0.890
Ge2 Ge 0.175 0.750 0.633
Ge3 Ge 0.222 0.045 0.532
```

Arrangement Q

Below is a geometry-optimized Nd5Ge4 structure, with properties calculated at the PBE-GGA level.

## Properties
density	7.1	Mg/m³
V	475	Å³/cell

Geometry as CIF:
```
data_Nd5Ge4
_cell_length_a 11.214
_cell_length_b 4.467
_cell_length_c 10.233
_cell_angle_alpha 90.00
_cell_angle_beta 111.95
_cell_angle_gamma 90.00
_symmetry_space_group_name_H-M 'C 1 2/m 1'
_symmetry_Int_Tables_number 12
loop_
_symmetry_equiv_pos_as_xyz
'x,y,z'
'-x,-y,-z'
'-x,y,-z'
'x,-y,z'
'x+1/2,y+1/2,z'
'-x+1/2,-y+1/2,-z'
'-x+1/2,y+1/2,-z'
'x+1/2,-y+1/2,z'
loop_
_atom_site_label
_atom_site_type_symbol
_atom_site_fract_x
_atom_site_fract_y
_atom_site_fract_z
Nd1 Nd 0.000 0.000 0.000
Nd2 Nd 0.099 0.000 0.392
Nd3 Nd 0.248 0.000 0.833
Ge1 Ge 0.048 0.500 0.830
Ge2 Ge 0.125 0.500 0.610
```

Most stable structure - arrangement P; separation to the second - 30 meV/atom.

Arrangement P

Below is a geometry-optimized NdNi3Ge structure, with properties calculated at the PBE-GGA level.

## Properties
density	7.8	Mg/m³
V	335	Å³/cell

Geometry as CIF:
```
data_NdNi3Ge
_cell_length_a 5.7597
_cell_length_b 5.7597
_cell_length_c 11.6751
_cell_angle_alpha 90.00
_cell_angle_beta 90.00
_cell_angle_gamma 120.00
_symmetry_space_group_name_H-M 'P 63/m m c'
_symmetry_Int_Tables_number 194
_symmetry_space_group_name_Hall '-P 6c 2c'
loop_
_atom_site_label
_atom_site_type_symbol
_atom_site_fract_x
_atom_site_fract_y
_atom_site_fract_z
Nd1 Nd 0.0000 0.0000 0.0000
Nd2 Nd 0.3333 0.6667 0.2500
Ni1 Ni 0.0000 0.5000 0.0000
Ni2 Ni 0.1359 0.2718 0.7500
Ge1 Ge 0.3333 0.6667 0.6372
```

Arrangement Q

Below is a geometry-optimized NdNi3Ge structure, with properties calculated at the PBE-GGA level.

## Properties
density	7.4	Mg/m³
V	177	Å³/cell

Geometry as CIF:
```
data_NdNi3Ge
_cell_length_a 6.295
_cell_length_b 6.307
_cell_length_c 4.453
_cell_angle_alpha 90.00
_cell_angle_beta 90.00
_cell_angle_gamma 90.00
_symmetry_space_group_name_H-M 'C m m m'
_symmetry_Int_Tables_number 65
_symmetry_space_group_name_Hall '-C 2 2'
loop_
_atom_site_label
_atom_site_type_symbol
_atom_site_fract_x
_atom_site_fract_y
_atom_site_fract_z
Nd1 Nd 0.000 0.000 0.000
Ni1 Ni 0.000 0.500 0.000
Ni2 Ni 0.250 0.250 0.500
Ge1 Ge 0.000 0.500 0.500
```

Most stable structure - arrangement P; separation to the second - 148 meV/atom.

Arrangement P

Below is a geometry-optimized NdNpGe2 structure, with properties calculated at the PBE-GGA level.

## Properties
density	9.5	Mg/m³
V	92	Å³/cell

Geometry as CIF:
```
data_NdNpGe2
_cell_length_a 3.330
_cell_length_b 3.330
_cell_length_c 8.267
_cell_angle_alpha 90.00
_cell_angle_beta 90.00
_cell_angle_gamma 90.00
_symmetry_space_group_name_H-M 'P 4/m m m'
_symmetry_Int_Tables_number 123
_symmetry_space_group_name_Hall '-P 4 2'
loop_
_atom_site_label
_atom_site_type_symbol
_atom_site_fract_x
_atom_site_fract_y
_atom_site_fract_z
Nd1 Nd 0.000 0.000 0.000
Np1 Np 0.000 0.000 0.500
Ge1 Ge 0.500 0.500 0.259
```

Arrangement Q

Below is a geometry-optimized NdNpGe2 structure, with properties calculated at the PBE-GGA level.

## Properties
density	8.3	Mg/m³
V	317	Å³/cell

Geometry as CIF:
```
data_NdNpGe2
_cell_length_a 4.1703
_cell_length_b 4.1703
_cell_length_c 21.0371
_cell_angle_alpha 90.00
_cell_angle_beta 90.00
_cell_angle_gamma 120.00
_symmetry_space_group_name_H-M 'R -3 m'
_symmetry_Int_Tables_number 166
_symmetry_space_group_name_Hall '-R 3 2"'
loop_
_atom_site_label
_atom_site_type_symbol
_atom_site_fract_x
_atom_site_fract_y
_atom_site_fract_z
Nd1 Nd 0.0000 0.0000 0.0000
Np1 Np 0.0000 0.0000 0.5000
Ge1 Ge 0.0000 0.0000 0.2439
```

Most stable structure - arrangement P; separation to the second - 83 meV/atom.

Arrangement P

Below is a geometry-optimized Nd3GeO structure, with properties calculated at the PBE-GGA level.

## Properties
density	7.0	Mg/m³
V	249	Å³/cell

Geometry as CIF:
```
data_Nd3GeO
_cell_length_a 4.756
_cell_length_b 4.859
_cell_length_c 11.031
_cell_angle_alpha 90.00
_cell_angle_beta 102.46
_cell_angle_gamma 90.00
_symmetry_space_group_name_H-M 'P 1 21/m 1'
_symmetry_Int_Tables_number 11
loop_
_symmetry_equiv_pos_as_xyz
'x,y,z'
'-x,-y,-z'
'-x,y+1/2,-z'
'x,-y+1/2,z'
loop_
_atom_site_label
_atom_site_type_symbol
_atom_site_fract_x
_atom_site_fract_y
_atom_site_fract_z
Nd1 Nd 0.059 0.250 0.119
Nd2 Nd 0.196 0.750 0.392
Nd3 Nd 0.426 0.250 0.851
Ge1 Ge 0.334 0.750 0.671
O1 O 0.062 0.750 0.124
```

Arrangement Q

Below is a geometry-optimized Nd3GeO structure, with properties calculated at the PBE-GGA level.

## Properties
density	7.4	Mg/m³
V	117	Å³/cell

Geometry as CIF:
```
data_Nd3GeO
_cell_length_a 4.889
_cell_length_b 4.889
_cell_length_c 4.889
_cell_angle_alpha 90.00
_cell_angle_beta 90.00
_cell_angle_gamma 90.00
_symmetry_space_group_name_H-M 'P m -3 m'
_symmetry_Int_Tables_number 221
_symmetry_space_group_name_Hall '-P 4 2 3'
loop_
_atom_site_label
_atom_site_type_symbol
_atom_site_fract_x
_atom_site_fract_y
_atom_site_fract_z
Nd1 Nd 0.000 0.000 0.500
Ge1 Ge 0.500 0.500 0.500
O1 O 0.000 0.000 0.000
```

Most stable structure - arrangement P; separation to the second - 15 meV/atom.

Arrangement P

Below is a geometry-optimized Nd2GeO structure, with properties calculated at the PBE-GGA level.

## Properties
density	7.3	Mg/m³
V	257	Å³/cell

Geometry as CIF:
```
data_Nd2GeO
_cell_length_a 3.5959
_cell_length_b 3.5959
_cell_length_c 22.9380
_cell_angle_alpha 90.00
_cell_angle_beta 90.00
_cell_angle_gamma 120.00
_symmetry_space_group_name_H-M 'R 3 m'
_symmetry_Int_Tables_number 160
_symmetry_space_group_name_Hall 'R 3 -2"'
loop_
_atom_site_label
_atom_site_type_symbol
_atom_site_fract_x
_atom_site_fract_y
_atom_site_fract_z
Nd1 Nd 0.0000 0.0000 0.0000
Nd2 Nd 0.0000 0.0000 0.1412
Ge1 Ge 0.0000 0.0000 0.5701
O1 O 0.0000 0.0000 0.7395
```

Arrangement Q

Below is a geometry-optimized Nd2GeO structure, with properties calculated at the PBE-GGA level.

## Properties
density	7.2	Mg/m³
V	261	Å³/cell

Geometry as CIF:
```
data_Nd2GeO
_cell_length_a 3.9010
_cell_length_b 3.9010
_cell_length_c 19.7766
_cell_angle_alpha 90.00
_cell_angle_beta 90.00
_cell_angle_gamma 120.00
_symmetry_space_group_name_H-M 'R -3 m'
_symmetry_Int_Tables_number 166
_symmetry_space_group_name_Hall '-R 3 2"'
loop_
_atom_site_label
_atom_site_type_symbol
_atom_site_fract_x
_atom_site_fract_y
_atom_site_fract_z
Nd1 Nd 0.0000 0.0000 0.2377
Ge1 Ge 0.0000 0.0000 0.0000
O1 O 0.0000 0.0000 0.5000
```

Most stable structure - arrangement Q; separation to the second - 187 meV/atom.

Arrangement P

Below is a geometry-optimized NdGe4Os2 structure, with properties calculated at the PBE-GGA level.

## Properties
density	10.8	Mg/m³
V	501	Å³/cell

Geometry as CIF:
```
data_NdGe4Os2
_cell_length_a 17.238
_cell_length_b 4.260
_cell_length_c 6.825
_cell_angle_alpha 90.00
_cell_angle_beta 90.00
_cell_angle_gamma 90.00
_symmetry_space_group_name_H-M 'P n m a'
_symmetry_Int_Tables_number 62
loop_
_symmetry_equiv_pos_as_xyz
'x,y,z'
'-x,-y,-z'
'-x+1/2,-y,z+1/2'
'x+1/2,y,-z+1/2'
'x+1/2,-y+1/2,-z+1/2'
'-x+1/2,y+1/2,z+1/2'
'-x,y+1/2,-z'
'x,-y+1/2,z'
loop_
_atom_site_label
_atom_site_type_symbol
_atom_site_fract_x
_atom_site_fract_y
_atom_site_fract_z
Nd1 Nd 0.143 0.250 0.045
Ge1 Ge 0.027 0.750 0.137
Ge2 Ge 0.061 0.250 0.514
Ge3 Ge 0.191 0.750 0.750
Ge4 Ge 0.192 0.750 0.322
Os1 Os 0.040 0.750 0.757
Os2 Os 0.206 0.250 0.532
```

Arrangement Q

Below is a geometry-optimized NdGe4Os2 structure, with properties calculated at the PBE-GGA level.

## Properties
density	10.9	Mg/m³
V	499	Å³/cell

Geometry as CIF:
```
data_NdGe4Os2
_cell_length_a 7.787
_cell_length_b 7.787
_cell_length_c 8.221
_cell_angle_alpha 90.00
_cell_angle_beta 90.00
_cell_angle_gamma 90.00
_symmetry_space_group_name_H-M 'I -4 2 d'
_symmetry_Int_Tables_number 122
_symmetry_space_group_name_Hall 'I -4 2bw'
loop_
_atom_site_label
_atom_site_type_symbol
_atom_site_fract_x
_atom_site_fract_y
_atom_site_fract_z
Nd1 Nd 0.000 0.000 0.000
Ge1 Ge 0.086 0.143 0.343
Os1 Os 0.175 0.250 0.625
```

Most stable structure - arrangement P; separation to the second - 212 meV/atom.

Arrangement P

Below is a geometry-optimized Nd2GeP structure, with properties calculated at the PBE-GGA level.

## Properties
density	6.1	Mg/m³
V	320	Å³/cell

Geometry as CIF:
```
data_Nd2GeP
_cell_length_a 4.1220
_cell_length_b 4.1220
_cell_length_c 21.7739
_cell_angle_alpha 90.00
_cell_angle_beta 90.00
_cell_angle_gamma 120.00
_symmetry_space_group_name_H-M 'R -3 m'
_symmetry_Int_Tables_number 166
_symmetry_space_group_name_Hall '-R 3 2"'
loop_
_atom_site_label
_atom_site_type_symbol
_atom_site_fract_x
_atom_site_fract_y
_atom_site_fract_z
Nd1 Nd 0.0000 0.0000 0.2442
Ge1 Ge 0.0000 0.0000 0.0000
P1 P 0.0000 0.0000 0.5000
```

Arrangement Q

Below is a geometry-optimized Nd2GeP structure, with properties calculated at the PBE-GGA level.

## Properties
density	6.3	Mg/m³
V	412	Å³/cell

Geometry as CIF:
```
data_Nd2GeP
_cell_length_a 4.317
_cell_length_b 23.291
_cell_length_c 4.096
_cell_angle_alpha 90.00
_cell_angle_beta 90.00
_cell_angle_gamma 90.00
_symmetry_space_group_name_H-M 'C m c m'
_symmetry_Int_Tables_number 63
_symmetry_space_group_name_Hall '-C 2c 2'
loop_
_atom_site_label
_atom_site_type_symbol
_atom_site_fract_x
_atom_site_fract_y
_atom_site_fract_z
Nd1 Nd 0.000 0.068 0.250
Nd2 Nd 0.000 0.311 0.250
Ge1 Ge 0.000 0.461 0.250
P1 P 0.000 0.188 0.250
```

Most stable structure - arrangement Q; separation to the second - 102 meV/atom.

Arrangement P

Below is a geometry-optimized NdPaGe2 structure, with properties calculated at the PBE-GGA level.

## Properties
density	8.1	Mg/m³
V	319	Å³/cell

Geometry as CIF:
```
data_NdPaGe2
_cell_length_a 4.2282
_cell_length_b 4.2282
_cell_length_c 20.6184
_cell_angle_alpha 90.00
_cell_angle_beta 90.00
_cell_angle_gamma 120.00
_symmetry_space_group_name_H-M 'R -3 m'
_symmetry_Int_Tables_number 166
_symmetry_space_group_name_Hall '-R 3 2"'
loop_
_atom_site_label
_atom_site_type_symbol
_atom_site_fract_x
_atom_site_fract_y
_atom_site_fract_z
Nd1 Nd 0.0000 0.0000 0.0000
Pa1 Pa 0.0000 0.0000 0.5000
Ge1 Ge 0.0000 0.0000 0.2436
```

Arrangement Q

Below is a geometry-optimized NdPaGe2 structure, with properties calculated at the PBE-GGA level.

## Properties
density	9.4	Mg/m³
V	92	Å³/cell

Geometry as CIF:
```
data_NdPaGe2
_cell_length_a 3.371
_cell_length_b 3.371
_cell_length_c 8.124
_cell_angle_alpha 90.00
_cell_angle_beta 90.00
_cell_angle_gamma 90.00
_symmetry_space_group_name_H-M 'P 4/m m m'
_symmetry_Int_Tables_number 123
_symmetry_space_group_name_Hall '-P 4 2'
loop_
_atom_site_label
_atom_site_type_symbol
_atom_site_fract_x
_atom_site_fract_y
_atom_site_fract_z
Nd1 Nd 0.000 0.000 0.000
Pa1 Pa 0.000 0.000 0.500
Ge1 Ge 0.500 0.500 0.259
```

Most stable structure - arrangement P; separation to the second - 133 meV/atom.